No. 1
# PBE Os2WBr2, optimized geometry
# DOS at the Fermi energy = 9.69 states/eV/cell
# Electronic total energy = -6.12 eV per atom
# Magnetization = 1.45 μB per formula unit
# Calculated density = 12.81 g/cm³
# Energy relative to the elements, uncorrected = 1.628 eV per atom
data_Os2WBr2
_chemical_formula_sum 'Os4 W2 Br4'
_symmetry_space_group_name_H-M 'I 4/m m m'
_symmetry_Int_Tables_number 139
_symmetry_space_group_name_Hall '-I 4 2'
_cell_length_a 3.9598
_cell_length_b 3.9598
_cell_length_c 11.9772
_cell_angle_alpha 90.00
_cell_angle_beta 90.00
_cell_angle_gamma 90.00
loop_
_atom_site_label
_atom_site_fract_x
_atom_site_fract_y
_atom_site_fract_z
Os1 0.0000 0.0000 0.0979
W1 0.0000 0.0000 0.5000
Br1 0.0000 0.5000 0.2500



No. 2
# PBE OsW2Br, optimized geometry
# DOS at the Fermi energy = 7.92 states/eV/cell
# Relative energy among the computed polymorphs = 0.214 eV/atom
# Electronic total energy = -8.86 eV per atom
# Magnetization = 0.00 μB per formula unit
# Calculated density = 15.24 g/cm³
# Energy relative to the elements, uncorrected = 0.838 eV per atom
data_OsW2Br
_chemical_formula_sum 'Os2 W4 Br2'
_symmetry_space_group_name_H-M 'C m m 2'
_symmetry_Int_Tables_number 35
_symmetry_space_group_name_Hall 'C 2 -2'
_cell_length_a 3.1181
_cell_length_b 4.7986
_cell_length_c 9.2892
_cell_angle_alpha 90.00
_cell_angle_beta 90.00
_cell_angle_gamma 90.00
loop_
_atom_site_label
_atom_site_fract_x
_atom_site_fract_y
_atom_site_fract_z
Os1 0.0000 0.0000 0.0000
W1 0.0000 0.0000 0.5441
W2 0.0000 0.5000 0.7786
Br1 0.0000 0.5000 0.2960



No. 3
# PBE Os2WBr, optimized geometry
# DOS at the Fermi energy = 18.47 states/eV/cell
# Relative energy among the computed polymorphs = 0.755 eV/atom
# Electronic total energy = -7.81 eV per atom
# Magnetization = 0.00 μB per formula unit
# Calculated density = 11.86 g/cm³
# Energy relative to the elements, uncorrected = 1.460 eV per atom
data_Os2WBr
_chemical_formula_sum 'Os8 W4 Br4'
_symmetry_space_group_name_H-M 'I -4 2 d'
_symmetry_Int_Tables_number 122
_symmetry_space_group_name_Hall 'I -4 2bw'
_cell_length_a 5.9260
_cell_length_b 5.9260
_cell_length_c 10.2759
_cell_angle_alpha 90.00
_cell_angle_beta 90.00
_cell_angle_gamma 90.00
loop_
_atom_site_label
_atom_site_fract_x
_atom_site_fract_y
_atom_site_fract_z
Os1 0.2452 0.2500 0.1250
W1 0.0000 0.0000 0.0000
Br1 0.0000 0.0000 0.5000



No. 4
# PBE Os2WBr, optimized geometry
# DOS at the Fermi energy = 5.06 states/eV/cell
# Relative energy among the computed polymorphs = 0.310 eV/atom
# Electronic total energy = -8.26 eV per atom
# Magnetization = 0.00 μB per formula unit
# Calculated density = 17.38 g/cm³
# Energy relative to the elements, uncorrected = 1.014 eV per atom
data_Os2WBr
_chemical_formula_sum 'Os4 W2 Br2'
_symmetry_space_group_name_H-M 'I m m m'
_symmetry_Int_Tables_number 71
_symmetry_space_group_name_Hall '-I 2 2'
_cell_length_a 2.9153
_cell_length_b 4.6053
_cell_length_c 9.1708
_cell_angle_alpha 90.00
_cell_angle_beta 90.00
_cell_angle_gamma 90.00
loop_
_atom_site_label
_atom_site_fract_x
_atom_site_fract_y
_atom_site_fract_z
Os1 0.0000 0.0000 0.2367
W1 0.0000 0.5000 0.0000
Br1 0.0000 0.5000 0.5000



No. 5
# PBE OsW2Br, optimized geometry
# DOS at the Fermi energy = 6.49 states/eV/cell
# Relative energy among the computed polymorphs = 0.386 eV/atom
# Electronic total energy = -8.69 eV per atom
# Magnetization = 0.00 μB per formula unit
# Calculated density = 15.81 g/cm³
# Energy relative to the elements, uncorrected = 1.010 eV per atom
data_OsW2Br
_chemical_formula_sum 'Os2 W4 Br2'
_symmetry_space_group_name_H-M 'C 1 2/m 1'
_symmetry_Int_Tables_number 12
_symmetry_space_group_name_Hall '-C 2y'
_cell_length_a 9.7419
_cell_length_b 3.0180
_cell_length_c 4.5649
_cell_angle_alpha 90.00
_cell_angle_beta 93.17
_cell_angle_gamma 90.00
loop_
_atom_site_label
_atom_site_fract_x
_atom_site_fract_y
_atom_site_fract_z
Os1 0.0000 0.0000 0.0000
W1 0.2250 0.5000 0.2204
Br1 0.0000 0.5000 0.5000



No. 6
# PBE Os2WBr, optimized geometry
# DOS at the Fermi energy = 6.53 states/eV/cell
# Relative energy among the computed polymorphs = 0.423 eV/atom
# Electronic total energy = -8.14 eV per atom
# Magnetization = 0.00 μB per formula unit
# Calculated density = 17.13 g/cm³
# Energy relative to the elements, uncorrected = 1.127 eV per atom
data_Os2WBr
_chemical_formula_sum 'Os4 W2 Br2'
_symmetry_space_group_name_H-M 'I m m 2'
_symmetry_Int_Tables_number 44
_symmetry_space_group_name_Hall 'I 2 -2'
_cell_length_a 2.9354
_cell_length_b 4.5847
_cell_length_c 9.2783
_cell_angle_alpha 90.00
_cell_angle_beta 90.00
_cell_angle_gamma 90.00
loop_
_atom_site_label
_atom_site_fract_x
_atom_site_fract_y
_atom_site_fract_z
Os1 0.0000 0.0000 0.0000
Os2 0.0000 0.5000 0.2425
W1 0.0000 0.5000 0.7692
Br1 0.0000 0.0000 0.5007



No. 7
# PBE OsW2Br, optimized geometry
# DOS at the Fermi energy = 7.03 states/eV/cell
# Relative energy among the computed polymorphs = 0.309 eV/atom
# Electronic total energy = -8.77 eV per atom
# Magnetization = 0.00 μB per formula unit
# Calculated density = 15.64 g/cm³
# Energy relative to the elements, uncorrected = 0.933 eV per atom
data_OsW2Br
_chemical_formula_sum 'Os2 W4 Br2'
_symmetry_space_group_name_H-M 'C m m m'
_symmetry_Int_Tables_number 65
_symmetry_space_group_name_Hall '-C 2 2'
_cell_length_a 2.9804
_cell_length_b 4.8653
_cell_length_c 9.3425
_cell_angle_alpha 90.00
_cell_angle_beta 90.00
_cell_angle_gamma 90.00
loop_
_atom_site_label
_atom_site_fract_x
_atom_site_fract_y
_atom_site_fract_z
Os1 0.0000 0.0000 0.0000
W1 0.0000 0.5000 0.2351
Br1 0.0000 0.0000 0.5000



No. 8
# PBE OsWBr3, optimized geometry
# DOS at the Fermi energy = 6.21 states/eV/cell
# Relative energy among the computed polymorphs = 0.000 eV/atom
# Electronic total energy = -4.18 eV per atom
# Magnetization = 3.59 μB per formula unit
# Calculated density = 7.83 g/cm³
# Energy relative to the elements, uncorrected = 1.662 eV per atom
data_OsWBr3
_chemical_formula_sum 'Os1 W1 Br3'
_symmetry_space_group_name_H-M 'P m -3 m'
_symmetry_Int_Tables_number 221
_symmetry_space_group_name_Hall '-P 4 2 3'
_cell_length_a 5.0687
_cell_length_b 5.0687
_cell_length_c 5.0687
_cell_angle_alpha 90.00
_cell_angle_beta 90.00
_cell_angle_gamma 90.00
loop_
_atom_site_label
_atom_site_fract_x
_atom_site_fract_y
_atom_site_fract_z
Os1 0.0000 0.0000 0.0000
W1 0.5000 0.5000 0.5000
Br1 0.0000 0.0000 0.5000



No. 9
# PBE OsW2Br, optimized geometry
# DOS at the Fermi energy = 5.89 states/eV/cell
# Relative energy among the computed polymorphs = 0.270 eV/atom
# Electronic total energy = -8.81 eV per atom
# Magnetization = 0.00 μB per formula unit
# Calculated density = 15.69 g/cm³
# Energy relative to the elements, uncorrected = 0.895 eV per atom
data_OsW2Br
_chemical_formula_sum 'Os2 W4 Br2'
_symmetry_space_group_name_H-M 'C 1 m 1'
_symmetry_Int_Tables_number 8
_symmetry_space_group_name_Hall 'C -2y'
_cell_length_a 10.0550
_cell_length_b 2.9589
_cell_length_c 4.5510
_cell_angle_alpha 90.00
_cell_angle_beta 94.38
_cell_angle_gamma 90.00
loop_
_atom_site_label
_atom_site_fract_x
_atom_site_fract_y
_atom_site_fract_z
Os1 0.0000 0.0000 0.0000
W1 0.0669 0.5000 0.5588
W2 0.2739 0.0000 0.8289
Br1 0.2861 0.5000 0.2897



No. 10
# PBE Os2WBr, optimized geometry
# DOS at the Fermi energy = 2.50 states/eV/cell
# Relative energy among the computed polymorphs = 0.263 eV/atom
# Electronic total energy = -8.30 eV per atom
# Magnetization = 0.00 μB per formula unit
# Calculated density = 17.02 g/cm³
# Energy relative to the elements, uncorrected = 0.967 eV per atom
data_Os2WBr
_chemical_formula_sum 'Os2 W1 Br1'
_symmetry_space_group_name_H-M 'P 1 2/m 1'
_symmetry_Int_Tables_number 10
_symmetry_space_group_name_Hall '-P 2y'
_cell_length_a 2.9025
_cell_length_b 4.1552
_cell_length_c 5.3879
_cell_angle_alpha 90.00
_cell_angle_beta 104.73
_cell_angle_gamma 90.00
loop_
_atom_site_label
_atom_site_fract_x
_atom_site_fract_y
_atom_site_fract_z
Os1 0.1271 0.0000 0.2497
W1 0.5000 0.5000 0.0000
Br1 0.5000 0.5000 0.5000



No. 11
# PBE OsW2Br, optimized geometry
# DOS at the Fermi energy = 6.35 states/eV/cell
# Relative energy among the computed polymorphs = 0.563 eV/atom
# Electronic total energy = -8.51 eV per atom
# Magnetization = 0.00 μB per formula unit
# Calculated density = 16.20 g/cm³
# Energy relative to the elements, uncorrected = 1.187 eV per atom
data_OsW2Br
_chemical_formula_sum 'Os2 W4 Br2'
_symmetry_space_group_name_H-M 'C m m m'
_symmetry_Int_Tables_number 65
_symmetry_space_group_name_Hall '-C 2 2'
_cell_length_a 5.3225
_cell_length_b 8.4579
_cell_length_c 2.9037
_cell_angle_alpha 90.00
_cell_angle_beta 90.00
_cell_angle_gamma 90.00
loop_
_atom_site_label
_atom_site_fract_x
_atom_site_fract_y
_atom_site_fract_z
Os1 0.0000 0.0000 0.0000
W1 0.2500 0.2500 0.5000
Br1 0.0000 0.5000 0.0000



No. 12
# PBE Os2WBr, optimized geometry
# DOS at the Fermi energy = 6.54 states/eV/cell
# Relative energy among the computed polymorphs = 0.548 eV/atom
# Electronic total energy = -8.02 eV per atom
# Magnetization = 0.00 μB per formula unit
# Calculated density = 16.81 g/cm³
# Energy relative to the elements, uncorrected = 1.252 eV per atom
data_Os2WBr
_chemical_formula_sum 'Os4 W2 Br2'
_symmetry_space_group_name_H-M 'C m m m'
_symmetry_Int_Tables_number 65
_symmetry_space_group_name_Hall '-C 2 2'
_cell_length_a 5.9387
_cell_length_b 7.4305
_cell_length_c 2.8841
_cell_angle_alpha 90.00
_cell_angle_beta 90.00
_cell_angle_gamma 90.00
loop_
_atom_site_label
_atom_site_fract_x
_atom_site_fract_y
_atom_site_fract_z
Os1 0.2500 0.2500 0.0000
W1 0.0000 0.0000 0.5000
Br1 0.0000 0.5000 0.5000